No. 1
The following is a PBE calculation of FeCu3C after structural relaxation, from Alexandria.

The volume comes out at 84.2 Å³/f.u. Its density of states at the Fermi level is 1.06 states/eV per atom. The energy of formation comes out at 2.288 eV/atom.

It has space group Pm-3m (No. 221), with a = 4.382 Å, b = 4.382 Å, c = 4.382 Å, α = 90.00°, β = 90.00° and γ = 90.00°. The distinct sites, in fractional coordinates, are Fe at (0.000, 0.000, 0.000), Cu at (0.000, 0.000, 0.500) and C at (0.500, 0.500, 0.500).

***

No. 2
The following is a PBE calculation of LaSm10Ho6 after structural relaxation, from Alexandria.

The volume comes out at 572.1 Å³/f.u. Its density of states at the Fermi level is 1.50 states/eV per atom. The energy of formation comes out at 0.135 eV/atom.

It has space group P-31m (No. 162), with a = 9.7997 Å, b = 9.7997 Å, c = 6.8784 Å, α = 90.00°, β = 90.00° and γ = 120.00°. The distinct sites, in fractional coordinates, are La at (0.0000, 0.0000, 0.0000), Sm at (0.0000, 0.2781, 0.6803), Sm at (0.3333, 0.6667, 0.0000), Sm at (0.3333, 0.6667, 0.5000) and Ho at (0.0000, 0.3733, 0.1925).

***

No. 3
The following is a PBE calculation of Ac2AlAu2 after structural relaxation, from Alexandria.

The volume comes out at 138.4 Å³/f.u. Its density of states at the Fermi level is 0.81 states/eV per atom. The energy of formation comes out at -0.705 eV/atom.

It has space group C2/m (No. 12), with a = 11.809 Å, b = 4.565 Å, c = 11.664 Å, α = 90.00°, β = 118.32° and γ = 90.00°. The distinct sites, in fractional coordinates, are Ac at (0.000, 0.000, 0.164), Ac at (0.187, 0.000, 0.608), Al at (0.222, 0.500, 0.865), Au at (0.014, 0.500, 0.375) and Au at (0.155, 0.500, 0.068).

***

No. 4
The following is a PBE calculation of Ac8InIr4 after structural relaxation, from Alexandria.

The volume comes out at 522.1 Å³/f.u. Its density of states at the Fermi level is 0.87 states/eV per atom. The energy of formation comes out at -0.472 eV/atom.

It has space group F-43m (No. 216), with a = 12.782 Å, b = 12.782 Å, c = 12.782 Å, α = 90.00°, β = 90.00° and γ = 90.00°. The distinct sites, in fractional coordinates, are Ac at (0.107, 0.107, 0.393), Ac at (0.139, 0.139, 0.861), In at (0.250, 0.250, 0.250) and Ir at (0.127, 0.127, 0.627).

***

No. 5
The following is a PBE calculation of Ge4IrPt2 after structural relaxation, from Alexandria.

The volume comes out at 145.5 Å³/f.u. Its density of states at the Fermi level is 0.84 states/eV per atom. The energy of formation comes out at 0.112 eV/atom.

It has space group I4/mmm (No. 139), with a = 4.875 Å, b = 4.875 Å, c = 12.241 Å, α = 90.00°, β = 90.00° and γ = 90.00°. The distinct sites, in fractional coordinates, are Ge at (0.000, 0.000, 0.198), Ge at (0.000, 0.500, 0.000), Ir at (0.000, 0.000, 0.000) and Pt at (0.000, 0.000, 0.390).

***

No. 6
The following is a PBE calculation of Cr2InAu after structural relaxation, from Alexandria.

The volume comes out at 66.4 Å³/f.u. Its density of states at the Fermi level is 0.51 states/eV per atom. The energy of formation comes out at 0.153 eV/atom.

It has space group P4mm (No. 99), with a = 3.117 Å, b = 3.117 Å, c = 6.829 Å, α = 90.00°, β = 90.00° and γ = 90.00°. The distinct sites, in fractional coordinates, are Cr at (0.000, 0.000, 0.000), Cr at (0.500, 0.500, 0.163), In at (0.000, 0.000, 0.443) and Au at (0.500, 0.500, 0.740).

***

No. 7
The following is a PBE calculation of Ir3CI after structural relaxation, from Alexandria.

The volume comes out at 114.4 Å³/f.u. The calculation puts the uncorrected formation energy at 1639 kJ/mol of formula units. Its density of states at the Fermi level is 1.40 states/eV per atom.

It has space group Pm-3m (No. 221), with a = 4.854 Å, b = 4.854 Å, c = 4.854 Å, α = 90.00°, β = 90.00° and γ = 90.00°. The distinct sites, in fractional coordinates, are Ir at (0.000, 0.000, 0.500), C at (0.500, 0.500, 0.500) and I at (0.000, 0.000, 0.000).

***

No. 8
The following is a PBE calculation of Cu2OsAu2 after structural relaxation, from Alexandria.

The volume comes out at 75.6 Å³/f.u. Its density of states at the Fermi level is 0.76 states/eV per atom. The energy of formation comes out at 0.493 eV/atom.

It has space group P4/mbm (No. 127), with a = 7.447 Å, b = 7.447 Å, c = 2.725 Å, α = 90.00°, β = 90.00° and γ = 90.00°. The distinct sites, in fractional coordinates, are Cu at (0.117, 0.383, 0.000), Os at (0.000, 0.000, 0.000) and Au at (0.180, 0.680, 0.500).

***

No. 9
The following is a PBE calculation of Th2ZnRu after structural relaxation, from Alexandria.

The volume comes out at 94.5 Å³/f.u. Its density of states at the Fermi level is 0.72 states/eV per atom. The energy of formation comes out at -0.276 eV/atom.

It has space group P4/mmm (No. 123), with a = 3.646 Å, b = 3.646 Å, c = 7.109 Å, α = 90.00°, β = 90.00° and γ = 90.00°. The distinct sites, in fractional coordinates, are Th at (0.000, 0.000, 0.233), Zn at (0.500, 0.500, 0.500) and Ru at (0.500, 0.500, 0.000).

***

No. 10
The following is a PBE calculation of Nd2SmNpO8 after structural relaxation, from Alexandria.

The volume comes out at 167.9 Å³/f.u. The calculation puts the uncorrected formation energy at -3611 kJ/mol of formula units. Its density of states at the Fermi level is 0.03 states/eV per atom.

It has space group P2/m (No. 10), with a = 3.973 Å, b = 7.619 Å, c = 5.566 Å, α = 90.00°, β = 94.62° and γ = 90.00°. The distinct sites, in fractional coordinates, are Nd at (0.000, 0.244, 0.000), Sm at (0.500, 0.000, 0.500), Np at (0.500, 0.500, 0.500), O at (0.002, 0.000, 0.751), O at (0.057, 0.500, 0.285) and O at (0.466, 0.283, 0.730).

***

No. 11
The following is a PBE calculation of NaSrY2Pd after structural relaxation, from Alexandria.

The volume comes out at 185.0 Å³/f.u. Its density of states at the Fermi level is 0.79 states/eV per atom. The energy of formation comes out at -0.131 eV/atom.

It has space group P4/mmm (No. 123), with a = 5.507 Å, b = 5.507 Å, c = 6.100 Å, α = 90.00°, β = 90.00° and γ = 90.00°. The distinct sites, in fractional coordinates, are Na at (0.000, 0.000, 0.000), Sr at (0.500, 0.500, 0.000), Y at (0.000, 0.500, 0.500) and Pd at (0.500, 0.500, 0.500).

***

No. 12
The following is a PBE calculation of MgCuPt2 after structural relaxation, from Alexandria.

The volume comes out at 59.5 Å³/f.u. Its density of states at the Fermi level is 0.35 states/eV per atom. The energy of formation comes out at -0.520 eV/atom.

It has space group P2/m (No. 10), with a = 2.857 Å, b = 3.662 Å, c = 5.686 Å, α = 90.00°, β = 90.16° and γ = 90.00°. The distinct sites, in fractional coordinates, are Mg at (0.000, 0.000, 0.000), Cu at (0.000, 0.000, 0.500) and Pt at (0.499, 0.500, 0.743).

***

No. 13
The following is a PBE calculation of BeNiW after structural relaxation, from Alexandria.

The volume comes out at 33.6 Å³/f.u. Its density of states at the Fermi level is 0.48 states/eV per atom. The energy of formation comes out at -0.209 eV/atom.

It has space group Pnma (No. 62), with a = 5.951 Å, b = 3.310 Å, c = 6.832 Å, α = 90.00°, β = 90.00° and γ = 90.00°. The distinct sites, in fractional coordinates, are Be at (0.227, 0.250, 0.130), Ni at (0.143, 0.750, 0.939) and W at (0.028, 0.750, 0.334).

***

No. 14
The following is a PBE calculation of LaAuSe2Br after structural relaxation, from Alexandria.

The volume comes out at 137.8 Å³/f.u. The calculation puts the uncorrected formation energy at -309 kJ/mol of formula units. Its density of states at the Fermi level is 0.78 states/eV per atom.

It has space group P4/mmm (No. 123), with a = 5.193 Å, b = 5.193 Å, c = 5.111 Å, α = 90.00°, β = 90.00° and γ = 90.00°. The distinct sites, in fractional coordinates, are La at (0.000, 0.000, 0.000), Au at (0.500, 0.500, 0.500), Se at (0.000, 0.500, 0.500) and Br at (0.500, 0.500, 0.000).

***

No. 15
The following is a PBE calculation of ErNpS2 after structural relaxation, from Alexandria.

The volume comes out at 83.4 Å³/f.u. The calculation puts the uncorrected formation energy at -634 kJ/mol of formula units. Its density of states at the Fermi level is 1.85 states/eV per atom.

It has space group P6_3/mmc (No. 194), with a = 3.8592 Å, b = 3.8592 Å, c = 12.9332 Å, α = 90.00°, β = 90.00° and γ = 120.00°. The distinct sites, in fractional coordinates, are Er at (0.3333, 0.6667, 0.2500), Np at (0.0000, 0.0000, 0.0000) and S at (0.3333, 0.6667, 0.6235).

***

No. 16
The following is a PBE calculation of NaCr5Se8 after structural relaxation, from Alexandria.

The volume comes out at 302.0 Å³/f.u. The calculation puts the uncorrected formation energy at -810 kJ/mol of formula units. Its density of states at the Fermi level is 0.05 states/eV per atom.

It has space group C2/m (No. 12), with a = 19.174 Å, b = 3.682 Å, c = 8.920 Å, α = 90.00°, β = 106.43° and γ = 90.00°. The distinct sites, in fractional coordinates, are Na at (0.000, 0.000, 0.000), Cr at (0.000, 0.500, 0.500), Cr at (0.156, 0.000, 0.466), Cr at (0.204, 0.000, 0.833), Se at (0.077, 0.000, 0.649), Se at (0.079, 0.500, 0.310), Se at (0.170, 0.500, 0.989) and Se at (0.237, 0.500, 0.652).

***

No. 17
The following is a PBE calculation of Be2NiMo after structural relaxation, from Alexandria.

The volume comes out at 45.5 Å³/f.u. Its density of states at the Fermi level is 0.78 states/eV per atom. The energy of formation comes out at 0.104 eV/atom.

It has space group Immm (No. 71), with a = 2.548 Å, b = 4.394 Å, c = 8.125 Å, α = 90.00°, β = 90.00° and γ = 90.00°. The distinct sites, in fractional coordinates, are Be at (0.000, 0.000, 0.227), Ni at (0.000, 0.500, 0.500) and Mo at (0.000, 0.500, 0.000).

***

No. 18
The following is a PBE calculation of CuSiCl2 after structural relaxation, from Alexandria.

The volume comes out at 88.3 Å³/f.u. The calculation puts the uncorrected formation energy at -39 kJ/mol of formula units. Its density of states at the Fermi level is 0.21 states/eV per atom.

It has space group C2/m (No. 12), with a = 14.312 Å, b = 3.747 Å, c = 3.388 Å, α = 90.00°, β = 103.50° and γ = 90.00°. The distinct sites, in fractional coordinates, are Cu at (0.000, 0.000, 0.000), Si at (0.000, 0.500, 0.500) and Cl at (0.141, 0.500, 0.139).

***

No. 19
The following is a PBE calculation of ErSc12Co5 after structural relaxation, from Alexandria.

The volume comes out at 360.9 Å³/f.u. Its density of states at the Fermi level is 1.18 states/eV per atom. The energy of formation comes out at -0.181 eV/atom.

It has space group Immm (No. 71), with a = 8.615 Å, b = 8.679 Å, c = 9.655 Å, α = 90.00°, β = 90.00° and γ = 90.00°. The distinct sites, in fractional coordinates, are Er at (0.000, 0.000, 0.000), Sc at (0.000, 0.315, 0.185), Sc at (0.179, 0.275, 0.500), Sc at (0.190, 0.000, 0.281), Co at (0.000, 0.000, 0.500), Co at (0.000, 0.500, 0.382) and Co at (0.153, 0.500, 0.000).

***

No. 20
The following is a PBE calculation of IrRuRh after structural relaxation, from Alexandria.

The volume comes out at 42.6 Å³/f.u. Its density of states at the Fermi level is 0.65 states/eV per atom. The energy of formation comes out at -0.015 eV/atom.

It has space group P3m1 (No. 156), with a = 2.7110 Å, b = 2.7110 Å, c = 6.6914 Å, α = 90.00°, β = 90.00° and γ = 120.00°. The distinct sites, in fractional coordinates, are Ir at (0.0000, 0.0000, 0.0000), Ru at (0.3333, 0.6667, 0.6737) and Rh at (0.6667, 0.3333, 0.3428).

***

No. 21
The following is a PBE calculation of LuAlPt after structural relaxation, from Alexandria.

The volume comes out at 56.9 Å³/f.u. Its density of states at the Fermi level is 0.49 states/eV per atom. The energy of formation comes out at -1.194 eV/atom.

It has space group Pnma (No. 62), with a = 6.735 Å, b = 4.374 Å, c = 7.730 Å, α = 90.00°, β = 90.00° and γ = 90.00°. The distinct sites, in fractional coordinates, are Lu at (0.028, 0.250, 0.182), Al at (0.147, 0.250, 0.562) and Pt at (0.232, 0.750, 0.382).

***

No. 22
The following is a PBE calculation of Sr3CeRh8 after structural relaxation, from Alexandria.

The volume comes out at 229.0 Å³/f.u. Its density of states at the Fermi level is 0.89 states/eV per atom. The energy of formation comes out at -0.394 eV/atom.

It has space group R3m (No. 160, hexagonal axes), with a = 5.4461 Å, b = 5.4461 Å, c = 26.7477 Å, α = 90.00°, β = 90.00° and γ = 120.00°. The distinct sites, in fractional coordinates, are Sr at (0.0000, 0.0000, 0.0000), Sr at (0.0000, 0.0000, 0.1239), Sr at (0.0000, 0.0000, 0.6270), Ce at (0.0000, 0.0000, 0.4996), Rh at (0.0000, 0.0000, 0.3130), Rh at (0.0000, 0.0000, 0.8132), Rh at (0.0041, 0.5021, 0.0656) and Rh at (0.1685, 0.3370, 0.8941).

***

No. 23
The following is a PBE calculation of Cs2Ba2UO6 after structural relaxation, from Alexandria.

The volume comes out at 268.7 Å³/f.u. The calculation puts the uncorrected formation energy at -2759 kJ/mol of formula units. Its density of states at the Fermi level is 0.00 states/eV per atom.

It has space group C2/m (No. 12), with a = 6.761 Å, b = 11.359 Å, c = 7.270 Å, α = 90.00°, β = 105.69° and γ = 90.00°. The distinct sites, in fractional coordinates, are Cs at (0.000, 0.166, 0.000), Ba at (0.000, 0.337, 0.500), U at (0.000, 0.000, 0.500), O at (0.180, 0.137, 0.660) and O at (0.206, 0.000, 0.327).

***

No. 24
The following is a PBE calculation of BaNdPd2 after structural relaxation, from Alexandria.

The volume comes out at 121.2 Å³/f.u. Its density of states at the Fermi level is 0.60 states/eV per atom. The energy of formation comes out at -0.495 eV/atom.

It has space group R3m (No. 160, hexagonal axes), with a = 4.2657 Å, b = 4.2657 Å, c = 23.0805 Å, α = 90.00°, β = 90.00° and γ = 120.00°. The distinct sites, in fractional coordinates, are Ba at (0.0000, 0.0000, 0.0000), Nd at (0.0000, 0.0000, 0.8282), Pd at (0.0000, 0.0000, 0.2343) and Pd at (0.0000, 0.0000, 0.4236).